Below is an optimized crystal structure of Tb2TmPb, with properties calculated at the PBE-GGA level.

Cell and atoms, written as extended XYZ:
```
4
Lattice="3.609 0.000 0.000 0.000 3.609 0.000 0.000 0.000 9.308" Properties=species:S:1:pos:R:3 pbc="T T T"
Tb 0.000 0.000 2.209
Tb 0.000 0.000 7.099
Pb 1.805 1.805 0.000
Tm 1.805 1.805 4.654
```

density of states at the Fermi level: 0.894 states/eV per atom
E above lowest polymorph: 6.4 kJ per mole of atoms
energy of formation: -20.1 kJ/mol of atoms
magnetic moment: 0.0 μB per formula unit
VASP energy: -4.57 eV/atom
volume: 121 Å³ per cell

Below is an optimized crystal structure of TbTmPb2, with properties calculated at the PBE-GGA level.

Cell and atoms, written as extended XYZ:
```
4
Lattice="-2.421 -2.062 -3.045 -3.266 -1.437 3.570 -2.666 4.222 -0.739" Properties=species:S:1:pos:R:3 pbc="T T T"
Pb -1.333 2.111 -0.370
Pb -1.633 -0.719 1.785
Tm -1.210 -1.031 -1.522
Tb -4.177 0.362 -0.107
```

density of states at the Fermi level: 0.979 states/eV per atom
energy of formation: -39.0 kJ/mol of atoms
magnetic moment: 0.0 μB per formula unit
VASP energy: -4.53 eV/atom
volume: 112 Å³ per cell

Below is an optimized crystal structure of Tb3Tm2Pb2, with properties calculated at the PBE-GGA level.

Cell and atoms, written as extended XYZ:
```
7
Lattice="-2.935 -0.524 -1.826 1.911 -7.728 -0.854 -3.258 2.938 7.739" Properties=species:S:1:pos:R:3 pbc="T T T"
Tb -3.754 -0.392 2.798
Tb 0.955 -3.864 -0.427
Tb -0.528 -4.922 2.260
Tm -3.597 -3.746 3.508
Tm -0.685 -1.568 1.551
Pb -0.447 -6.799 -0.677
Pb -3.835 1.485 5.736
```

density of states at the Fermi level: 1.027 states/eV per atom
energy of formation: -11.6 kJ/mol of atoms
magnetic moment: 0.4 μB per formula unit
VASP energy: -4.44 eV/atom
volume: 210 Å³ per cell

Below is an optimized crystal structure of Tb2Tm3Pb, with properties calculated at the PBE-GGA level.

Cell and atoms, written as extended XYZ:
```
6
Lattice="-1.444 1.168 -4.521 -4.542 -1.126 1.160 1.084 7.618 1.623" Properties=species:S:1:pos:R:3 pbc="T T T"
Tm -2.993 0.021 -1.681
Tm -3.777 4.680 -0.226
Tm -1.125 2.980 -1.513
Tb -2.657 1.728 1.295
Tb -0.802 4.764 1.487
Pb 0.000 0.000 0.000
```

density of states at the Fermi level: 1.084 states/eV per atom
energy of formation: -17.0 kJ/mol of atoms
magnetic moment: 0.0 μB per formula unit
VASP energy: -4.57 eV/atom
volume: 176 Å³ per cell

Below is an optimized crystal structure of TbTm3Pb, with properties calculated at the PBE-GGA level.

Cell and atoms, written as extended XYZ:
```
20
Lattice="8.520 0.000 0.000 0.000 8.734 -0.963 0.000 -3.987 8.572" Properties=species:S:1:pos:R:3 pbc="T T T"
Tb 0.544 -0.229 5.807
Tb 4.804 2.984 6.088
Tb 7.976 4.977 1.802
Tb 3.716 1.764 1.521
Pb 2.115 6.057 3.043
Pb 2.145 4.064 7.329
Pb 6.375 0.684 0.280
Pb 6.405 -1.309 4.566
Tm 6.886 1.857 3.527
Tm 1.634 2.890 4.082
Tm 5.019 7.121 0.850
Tm 2.626 4.884 -0.204
Tm 5.894 -0.136 7.813
Tm 0.759 -0.380 2.473
Tm 0.555 2.172 0.236
Tm 3.705 0.178 4.522
Tm 4.815 4.569 3.087
Tm 7.761 5.127 5.136
Tm 3.501 -2.373 6.759
Tm 7.965 2.576 7.373
```

density of states at the Fermi level: 1.179 states/eV per atom
energy of formation: -12.6 kJ/mol of atoms
magnetic moment: 0.0 μB per formula unit
VASP energy: -4.48 eV/atom
volume: 605 Å³ per cell

Below is an optimized crystal structure of TbTmPb, with properties calculated at the PBE-GGA level.

Cell and atoms, written as extended XYZ:
```
3
Lattice="-1.270 -3.373 0.795 4.908 -1.939 -0.387 -1.787 1.769 4.656" Properties=species:S:1:pos:R:3 pbc="T T T"
Tm 2.355 -1.557 1.495
Tb -0.467 -1.888 3.545
Pb -0.037 -0.097 0.023
```

density of states at the Fermi level: 1.256 states/eV per atom
energy of formation: -18.5 kJ/mol of atoms
magnetic moment: 0.0 μB per formula unit
VASP energy: -4.46 eV/atom
volume: 89 Å³ per cell